Entry from Alexandria via LeMat-Bulk: crystalline MgBeCr2Ru at its relaxed geometry (PBE).

Summary:
E_tot = -5.759 eV/atom
total magnetization = 0.00 μB/cell

a b c (Å): 3.9833 4.2486 3.9833
angles (deg): 90.00 90.00 90.00
Fractional coordinates of all 5 atoms:
Ru1 0.5000 0.5000 0.5000
Mg1 0.0000 0.5000 0.0000
Be1 0.0000 0.0000 0.0000
Cr1 0.0000 0.0000 0.5000
Cr2 0.5000 0.0000 0.0000